{"formula": "PdPb", "functional": "PBE", "state": "relaxed", "cell": [[-1.649, -5.120, 3.148], [2.136, -3.551, -4.656], [5.618, -0.153, 2.694]], "species": ["Pd", "Pd", "Pb", "Pd", "Pb", "Pb", "Pb", "Pd"], "fractional_positions": [[0.750, 0.750, 0.250], [0.750, 0.250, 0.750], [0.500, 0.000, 0.500], [0.250, 0.750, 0.750], [0.500, 0.500, 0.000], [0.000, 0.500, 0.500], [0.000, 0.000, 0.000], [0.250, 0.250, 0.250]], "m_tot_mub_per_fu": 0.00, "delta_e_f_ev_per_atom": 0.180, "e_tot_ev_per_cell": -34.17}

=====

{"formula": "PdPb", "functional": "PBE", "state": "relaxed", "cell": [[3.592, 0.000, -0.010], [0.000, 4.515, 0.000], [-1.792, 0.000, 5.304]], "species": ["Pd", "Pb", "Pb", "Pd"], "fractional_positions": [[0.082, 0.250, 0.166], [0.356, 0.250, 0.715], [0.644, 0.750, 0.285], [0.918, 0.750, 0.834]], "m_tot_mub_per_fu": 0.00, "delta_e_f_ev_per_atom": -0.249, "e_tot_ev_per_cell": -18.80}

=====

{"formula": "Pd5Pb3", "functional": "PBE", "state": "relaxed", "cell": [[-4.941, -5.435, -0.136], [-1.883, -2.401, -6.682], [2.637, -6.696, -1.871]], "species": ["Pd", "Pd", "Pd", "Pb", "Pb", "Pd", "Pd", "Pb", "Pd", "Pd", "Pd", "Pb", "Pd", "Pb", "Pb", "Pd"], "fractional_positions": [[0.961, 0.201, 0.588], [0.622, 0.878, 0.250], [0.444, 0.718, 0.088], [0.413, 0.296, 0.287], [0.011, 0.989, 0.000], [0.122, 0.378, 0.750], [0.282, 0.556, 0.912], [0.831, 0.461, 0.213], [0.208, 0.137, 0.158], [0.036, 0.620, 0.343], [0.380, 0.964, 0.657], [0.704, 0.587, 0.713], [0.799, 0.039, 0.412], [0.539, 0.169, 0.787], [0.232, 0.768, 0.500], [0.863, 0.792, 0.842]], "m_tot_mub_per_fu": 0.00, "delta_e_f_ev_per_atom": -0.262, "relative_energy_mev_per_atom": 0, "e_tot_ev_per_cell": -78.37}

=====

{"formula": "Pd3Pb2", "functional": "PBE", "state": "relaxed", "cell": [[5.010, 0.000, -2.161], [-1.316, 5.730, -3.052], [0.106, -0.005, 7.134]], "species": ["Pb", "Pb", "Pd", "Pb", "Pd", "Pd", "Pd", "Pb", "Pd", "Pd"], "fractional_positions": [[0.165, 0.409, 0.331], [0.665, 0.922, 0.331], [0.750, 0.000, 0.000], [0.335, 0.078, 0.669], [0.411, 0.557, 0.821], [0.250, 0.000, 0.000], [0.911, 0.264, 0.821], [0.835, 0.591, 0.669], [0.589, 0.443, 0.179], [0.089, 0.736, 0.179]], "m_tot_mub_per_fu": 0.00, "delta_e_f_ev_per_atom": -0.219, "relative_energy_mev_per_atom": 0, "e_tot_ev_per_cell": -48.18}

=====

{"formula": "Pd4Pb", "functional": "PBE", "state": "relaxed", "cell": [[-1.879, 3.210, -2.961], [-0.423, -3.572, -3.603], [-6.175, 0.565, 4.531]], "species": ["Pd", "Pd", "Pd", "Pb", "Pd", "Pd", "Pd", "Pd", "Pb", "Pd"], "fractional_positions": [[0.000, 0.799, 0.600], [0.000, 0.590, 0.199], [0.500, 0.201, 0.900], [0.500, 0.000, 0.500], [0.500, 0.410, 0.301], [0.500, 0.590, 0.699], [0.000, 0.201, 0.400], [0.000, 0.410, 0.801], [0.000, 0.000, 0.000], [0.500, 0.799, 0.100]], "m_tot_mub_per_fu": 0.00, "delta_e_f_ev_per_atom": -0.185, "relative_energy_mev_per_atom": 0, "e_tot_ev_per_cell": -50.81}

=====

{"formula": "PdPb", "functional": "PBE", "state": "relaxed", "cell": [[-1.284, -2.999, 6.922], [5.139, -5.489, -1.425], [5.523, 4.409, 2.934]], "species": ["Pb", "Pb", "Pd", "Pb", "Pd", "Pb", "Pd", "Pb", "Pb", "Pd", "Pd", "Pd"], "fractional_positions": [[0.750, 0.000, 0.500], [0.000, 0.500, 0.750], [0.250, 0.500, 0.000], [0.000, 0.500, 0.250], [0.750, 0.500, 0.000], [0.500, 0.750, 0.000], [0.000, 0.750, 0.500], [0.250, 0.000, 0.500], [0.500, 0.250, 0.000], [0.000, 0.250, 0.500], [0.500, 0.000, 0.750], [0.500, 0.000, 0.250]], "m_tot_mub_per_fu": 0.00, "delta_e_f_ev_per_atom": 0.257, "e_tot_ev_per_cell": -50.33}

=====

{"formula": "PdPb", "functional": "PBE", "state": "relaxed", "cell": [[-3.666, -3.279, -2.692], [3.447, -0.228, -4.416], [2.559, -4.699, 2.240]], "species": ["Pb", "Pd", "Pd", "Pb", "Pd", "Pb", "Pd", "Pb"], "fractional_positions": [[0.798, 0.798, 0.000], [0.192, 0.192, 0.500], [0.692, 0.308, 0.000], [0.202, 0.202, 0.000], [0.308, 0.692, 0.000], [0.298, 0.702, 0.500], [0.808, 0.808, 0.500], [0.702, 0.298, 0.500]], "m_tot_mub_per_fu": 0.00, "delta_e_f_ev_per_atom": -0.115, "e_tot_ev_per_cell": -36.53}

=====

{"formula": "PdPb2", "functional": "PBE", "state": "relaxed", "cell": [[-0.711, -2.963, -1.571], [2.043, -1.668, 2.190], [-5.501, 0.976, 3.690]], "species": ["Pb", "Pb", "Pd"], "fractional_positions": [[0.886, 0.886, 0.729], [0.114, 0.114, 0.271], [0.500, 0.500, 0.000]], "m_tot_mub_per_fu": 0.00, "delta_e_f_ev_per_atom": -0.155, "e_tot_ev_per_cell": -13.07}

=====

{"formula": "Pd4Pb", "functional": "PBE", "state": "relaxed", "cell": [[-1.333, 3.558, 3.273], [-4.424, -2.268, 0.664], [1.951, -2.711, 3.741]], "species": ["Pd", "Pd", "Pb", "Pd", "Pd"], "fractional_positions": [[0.500, 0.000, 0.500], [0.000, 0.000, 0.000], [0.500, 0.500, 0.500], [0.000, 0.500, 0.500], [0.500, 0.500, 0.000]], "m_tot_mub_per_fu": 0.00, "delta_e_f_ev_per_atom": 0.977, "relative_energy_mev_per_atom": 1162, "e_tot_ev_per_cell": -19.59}

=====

{"formula": "PdPb", "functional": "PBE", "state": "relaxed", "cell": [[3.780, 0.000, 0.000], [0.000, 3.780, 0.000], [0.000, 0.000, 6.020]], "species": ["Pd", "Pb", "Pd", "Pb"], "fractional_positions": [[0.500, 0.000, 0.357], [0.500, 0.000, 0.821], [0.000, 0.500, 0.643], [0.000, 0.500, 0.179]], "m_tot_mub_per_fu": 0.00, "delta_e_f_ev_per_atom": -0.194, "e_tot_ev_per_cell": -18.58}

=====

{"formula": "Pd2Pb3", "functional": "PBE", "state": "relaxed", "cell": [[6.779, 0.000, 0.000], [3.390, 5.871, 0.000], [3.390, 1.957, 6.380]], "species": ["Pd", "Pb", "Pd", "Pb", "Pd", "Pd", "Pb", "Pb", "Pb", "Pb"], "fractional_positions": [[0.175, 0.175, 0.476], [0.890, 0.250, 0.250], [0.675, 0.675, 0.976], [0.110, 0.750, 0.750], [0.325, 0.325, 0.024], [0.825, 0.825, 0.524], [0.390, 0.110, 0.750], [0.250, 0.610, 0.250], [0.610, 0.890, 0.250], [0.750, 0.390, 0.750]], "m_tot_mub_per_fu": 0.00, "delta_e_f_ev_per_atom": -0.168, "e_tot_ev_per_cell": -44.70}

=====

{"formula": "PdPb2", "functional": "PBE", "state": "relaxed", "cell": [[-2.872, 2.053, -0.440], [0.715, -2.583, -2.339], [-7.515, -8.899, 7.527]], "species": ["Pb", "Pb", "Pb", "Pd", "Pd", "Pb"], "fractional_positions": [[0.333, 0.667, 0.605], [0.667, 0.333, 0.105], [0.667, 0.333, 0.395], [0.000, 0.000, 0.250], [0.000, 0.000, 0.750], [0.333, 0.667, 0.895]], "m_tot_mub_per_fu": 0.00, "delta_e_f_ev_per_atom": -0.103, "e_tot_ev_per_cell": -25.83}